Entry from Alexandria via LeMat-Bulk: a relaxed structure of Na2Bi3Pd4 (GGA-PBE).

Results
density of states at the Fermi level	8.801	states/eV per cell
energy relative to the elements	-0.3104	eV/atom
theoretical density	8.9	Mg/m³

Cell and atoms, written as POSCAR:
```
Na2Bi3Pd4
1.0
6.638 0.000 0.000
0.000 7.312 0.000
-3.319 0.000 8.460
Bi Na Pd
6 4 8
Direct
0.000 0.000 0.000 Bi
0.500 0.500 0.000 Bi
0.994 0.250 0.489 Bi
0.006 0.750 0.511 Bi
0.494 0.250 0.489 Bi
0.506 0.750 0.511 Bi
0.411 0.093 0.821 Na
0.911 0.407 0.821 Na
0.589 0.907 0.179 Na
0.089 0.593 0.179 Na
0.834 0.012 0.669 Pd
0.671 0.750 0.843 Pd
0.334 0.488 0.669 Pd
0.829 0.250 0.157 Pd
0.166 0.988 0.331 Pd
0.666 0.512 0.331 Pd
0.171 0.750 0.843 Pd
0.329 0.250 0.157 Pd
```